Here is an optimized crystal structure of NdSmO2 from Alexandria via LeMat-Bulk. Energies are from PBE-GGA.

Summary:
SG: R-3m, No. 166
Fermi-level density of states: 0.635 states/eV/f.u.
E_form (uncorrected): -2762 meV/atom
Energy above the most stable polymorph in this dataset: 0.0000 eV per atom
Raw total energy: -7.6126 eV per atom

The structure in POSCAR format:
```
NdSmO2
1.0
1.759 1.015 5.879
-1.759 1.015 5.879
0.000 -2.031 5.879
Nd Sm O
1 1 2
Direct
0.000 0.000 0.000
0.500 0.500 0.500
0.243 0.243 0.243
0.757 0.757 0.757
```


Here is an optimized crystal structure of CaNb3Al from Alexandria via LeMat-Bulk. Energies are from PBE-GGA.

Summary:
SG: Pm-3m, No. 221
Fermi-level density of states: 5.032 states/eV/f.u.
Energy above the most stable polymorph in this dataset: 1.0720 eV per atom
Raw total energy: -5.1070 eV per atom

The structure in POSCAR format:
```
CaNb3Al
1.0
4.732 0.000 0.000
0.000 4.732 0.000
0.000 0.000 4.732
Ca Nb Al
1 3 1
Direct
0.000 0.000 0.000
0.000 0.000 0.500
0.000 0.500 0.000
0.500 0.000 0.000
0.500 0.500 0.500
```


Here is an optimized crystal structure of CsRb2PSe4 from Alexandria via LeMat-Bulk. Energies are from PBE-GGA.

Summary:
SG: C2/c, No. 15
Fermi-level density of states: 6.505 states/eV/f.u.
E_form (uncorrected): -485 meV/atom
Raw total energy: -3.2525 eV per atom

The structure in POSCAR format:
```
CsRb2PSe4
1.0
7.454 -5.621 0.000
7.454 5.621 0.000
-6.438 0.000 7.390
Cs Rb P Se
2 4 2 8
Direct
0.000 0.500 0.000
0.500 0.000 0.500
0.000 0.000 0.000
0.000 0.000 0.500
0.000 0.500 0.500
0.500 0.000 0.000
0.500 0.500 0.000
0.500 0.500 0.500
0.292 0.292 0.293
0.292 0.292 0.793
0.292 0.707 0.987
0.293 0.708 0.513
0.707 0.292 0.487
0.708 0.293 0.013
0.708 0.708 0.207
0.708 0.708 0.707
```


Here is an optimized crystal structure of Cr2NiPt from Alexandria via LeMat-Bulk. Energies are from PBE-GGA.

Summary:
SG: P4/mmm, No. 123
Fermi-level density of states: 4.769 states/eV/f.u.
Raw total energy: -7.8331 eV per atom

The structure in POSCAR format:
```
Cr2NiPt
1.0
3.590 0.000 0.000
0.000 3.590 0.000
0.000 0.000 3.855
Cr Ni Pt
2 1 1
Direct
0.000 0.500 0.000
0.500 0.000 0.000
0.000 0.000 0.500
0.500 0.500 0.500
```


Here is an optimized crystal structure of Tb6MgCo from Alexandria via LeMat-Bulk. Energies are from PBE-GGA.

Summary:
SG: P-1, No. 2
Fermi-level density of states: 12.355 states/eV/f.u.
Raw total energy: -4.3978 eV per atom

The structure in POSCAR format:
```
Tb6MgCo
1.0
6.809 0.000 0.000
-3.399 5.965 0.000
-3.337 -1.972 6.191
Tb Mg Co
6 1 1
Direct
0.065 0.087 0.259
0.281 0.694 0.258
0.323 0.521 0.742
0.677 0.479 0.258
0.719 0.306 0.742
0.935 0.913 0.741
0.500 0.000 0.000
0.500 0.500 0.500
```


Here is an optimized crystal structure of LiMnMo2 from Alexandria via LeMat-Bulk. Energies are from PBE-GGA.

Summary:
SG: Pmmm, No. 47
Fermi-level density of states: 3.387 states/eV/f.u.
Energy above the most stable polymorph in this dataset: 0.0633 eV per atom
Raw total energy: -7.8447 eV per atom

The structure in POSCAR format:
```
LiMnMo2
1.0
3.149 0.000 0.000
0.000 4.179 0.000
0.000 0.000 4.396
Li Mn Mo
1 1 2
Direct
0.000 0.000 0.000
0.500 0.500 0.000
0.000 0.500 0.500
0.500 0.000 0.500
```


Here is an optimized crystal structure of CaIF3 from Alexandria via LeMat-Bulk. Energies are from PBE-GGA.

Summary:
SG: Pm-3m, No. 221
Fermi-level density of states: 2.432 states/eV/f.u.
E_form (uncorrected): -2289 meV/atom
Energy above the most stable polymorph in this dataset: 0.0000 eV per atom
Raw total energy: -4.1220 eV per atom

The structure in POSCAR format:
```
CaIF3
1.0
4.531 0.000 0.000
0.000 4.531 0.000
0.000 0.000 4.531
Ca I F
1 1 3
Direct
0.000 0.000 0.000
0.500 0.500 0.500
0.000 0.000 0.500
0.000 0.500 0.000
0.500 0.000 0.000
```


Here is an optimized crystal structure of MgTi2HgO from Alexandria via LeMat-Bulk. Energies are from PBE-GGA.

Summary:
SG: P4/mmm, No. 123
Fermi-level density of states: 3.599 states/eV/f.u.
E_form (uncorrected): -1027 meV/atom
Raw total energy: -5.5562 eV per atom

The structure in POSCAR format:
```
MgTi2HgO
1.0
4.124 0.000 0.000
0.000 4.124 0.000
0.000 0.000 4.464
Mg Ti Hg O
1 2 1 1
Direct
0.000 0.000 0.000
0.000 0.500 0.500
0.500 0.000 0.500
0.500 0.500 0.000
0.000 0.000 0.500
```